A geometry-optimized LiFeCu2 structure, computed with GGA-PBE.

Summary:
total DFT energy (no corrections): -4.46 eV/atom
N(E_F): 2.88 states/eV/f.u.
E_form: 0.18 eV/atom
density: 6.5 Mg/m³

Cell: 3.697 3.697 7.064 Å, 90.00 90.00 90.00°
Space group I-4m2 (No. 119)
Inequivalent atoms, fractional coordinates:
Li: 0.000 0.000 0.000 (multiplicity 2)
Fe: 0.000 0.500 0.250 (multiplicity 2)
Cu: 0.000 0.000 0.500 (multiplicity 2)
Cu: 0.000 0.500 0.750 (multiplicity 2)